[1]
Crystalline Li9Mg2Ga at its relaxed geometry. Source: the Alexandria database, functional PBE.

extended XYZ file:
```
12
Lattice="4.744 -2.696 0.000 4.744 2.696 0.000 -3.340 0.000 9.038" Properties=species:S:1:pos:R:3 pbc="T T T"
Li 0.000 0.000 0.000
Li -0.115 0.000 5.061
Li 2.254 1.315 6.698
Li 1.573 0.000 2.328
Li 3.894 1.315 2.340
Li 2.254 -1.315 6.698
Li 4.576 0.000 6.710
Li 3.894 -1.315 2.340
Li 6.264 0.000 3.976
Mg -0.167 0.000 8.490
Mg 6.316 0.000 0.548
Ga 3.074 0.000 4.519
```

Output
DFT formation energy = -0.05 eV/atom
SG = C2/m, No. 12

***

[2]
Crystalline Zn2TcCl at its relaxed geometry. Source: the Alexandria database, functional PBE.

extended XYZ file:
```
4
Lattice="5.401 -1.392 0.000 5.401 1.392 0.000 -0.722 0.000 4.257" Properties=species:S:1:pos:R:3 pbc="T T T"
Zn 2.206 0.000 0.993
Zn 7.876 0.000 3.263
Tc 5.401 0.000 0.000
Cl -0.361 0.000 2.128
```

Output
energy relative to the elements, uncorrected = 0.38 eV per atom
relative energy among the computed polymorphs = 132 kJ/mol of formula units
SG = C2/m, No. 12